V2Pb3O8 after structural relaxation, computed with GGA+U.

Properties
Crystal system ... monoclinic
Final energy ... -6.69 eV/atom
Calculated volume ... 427.7 Å³ per cell
Excess energy over the best structure of this formula in the dataset ... 0.000 eV per atom

Cell lengths 7.496, 6.586, 9.514 Å; angles 90.00, 114.43, 90.00 degrees
Space group P2_1/c (No. 14)
One atom of each set of equivalent atoms:
V1 0.200 0.020 0.401 (multiplicity 4)
Pb1 0.000 0.000 0.000 (multiplicity 2)
Pb2 0.385 0.612 0.288 (multiplicity 4)
O1 0.040 0.540 0.231 (multiplicity 4)
O2 0.240 0.696 0.022 (multiplicity 4)
O3 0.271 0.235 0.515 (multiplicity 4)
O4 0.333 0.525 0.787 (multiplicity 4)